CsOsC3Cl3O3 PBE-GGA relaxed; V = 999 Å³/cell; symmetry = P2_1/c (14)
1.0
9.8976 0.0000 0.0000
0.0000 9.0913 0.0000
-0.1973 0.0000 11.1006
Cs Os C Cl O
4 4 12 12 12
Direct
0.1190 0.2465 0.0425
0.1190 0.2535 0.5425
0.8810 0.7465 0.4575
0.8810 0.7535 0.9575
0.2944 0.6183 0.7907
0.2944 0.8817 0.2907
0.7056 0.1183 0.7093
0.7056 0.3817 0.2093
0.2741 0.6749 0.2911
0.2741 0.8251 0.7911
0.3685 0.6188 0.6353
0.3685 0.8812 0.1353
0.4667 0.6291 0.8659
0.4667 0.8709 0.3659
0.5333 0.1291 0.6341
0.5333 0.3709 0.1341
0.6315 0.1188 0.8647
0.6315 0.3812 0.3647
0.7259 0.1749 0.2089
0.7259 0.3251 0.7089
0.0656 0.5862 0.7071
0.0656 0.9138 0.2071
0.1951 0.6090 0.9901
0.1951 0.8910 0.4901
0.3144 0.1495 0.2956
0.3144 0.3505 0.7956
0.6856 0.6495 0.2044
0.6856 0.8505 0.7044
0.8049 0.1090 0.5099
0.8049 0.3910 0.0099
0.9344 0.0862 0.7929
0.9344 0.4138 0.2929
0.2626 0.5480 0.2939
0.2626 0.9520 0.7939
0.4153 0.6159 0.5403
0.4153 0.8841 0.0403
0.4288 0.1321 0.5858
0.4288 0.3679 0.0858
0.5712 0.6321 0.9142
0.5712 0.8679 0.4142
0.5847 0.1159 0.9597
0.5847 0.3841 0.4597
0.7374 0.0480 0.2061
0.7374 0.4520 0.7061

CuH8C2NCl3 PBE-GGA relaxed; V = 715 Å³/cell; symmetry = P-1 (2)
1.0
8.5196 0.0000 0.0000
4.1301 8.6615 0.0000
3.8254 1.4689 9.6858
Cu H C N Cl
4 32 8 4 12
Direct
0.0788 0.1567 0.4296
0.1519 0.3511 0.0865
0.8481 0.6489 0.9135
0.9212 0.8434 0.5704
0.0678 0.6945 0.2707
0.0935 0.0711 0.8114
0.1833 0.9806 0.9575
0.2104 0.7720 0.2965
0.2164 0.8654 0.8346
0.2193 0.5184 0.4334
0.2633 0.2501 0.7594
0.2815 0.6838 0.1448
0.2962 0.4395 0.2885
0.3777 0.1422 0.8912
0.3944 0.0097 0.6621
0.4360 0.4957 0.7869
0.4563 0.6249 0.6261
0.4832 0.9091 0.7945
0.4858 0.5786 0.3732
0.4936 0.8357 0.2867
0.5064 0.1643 0.7133
0.5142 0.4214 0.6268
0.5168 0.0909 0.2055
0.5437 0.3751 0.3739
0.5640 0.5043 0.2131
0.6056 0.9903 0.3379
0.6223 0.8578 0.1088
0.7038 0.5605 0.7115
0.7185 0.3162 0.8552
0.7367 0.7499 0.2406
0.7807 0.4816 0.5666
0.7836 0.1346 0.1654
0.7896 0.2280 0.7035
0.8167 0.0194 0.0425
0.9065 0.9289 0.1886
0.9322 0.3055 0.7293
0.2052 0.9785 0.8486
0.2077 0.6807 0.2548
0.3807 0.1514 0.7842
0.4858 0.4939 0.3219
0.5142 0.5061 0.6781
0.6193 0.8486 0.2158
0.7923 0.3193 0.7452
0.7948 0.0215 0.1514
0.2960 0.5261 0.3299
0.3757 0.0052 0.7666
0.6243 0.9948 0.2334
0.7040 0.4739 0.6701
0.0615 0.5833 0.6392
0.0878 0.6130 0.9860
0.1850 0.8902 0.5222
0.1971 0.0973 0.1689
0.3021 0.1835 0.4763
0.4224 0.3333 0.0857
0.5776 0.6667 0.9143
0.6979 0.8165 0.5237
0.8029 0.9027 0.8311
0.8150 0.1098 0.4778
0.9122 0.3870 0.0140
0.9385 0.4167 0.3608

CuH8C2NCl3 PBE-GGA relaxed; V = 726 Å³/cell; symmetry = C2/c (15)
1.0
8.7113 -4.2883 0.0000
8.7113 4.2883 0.0000
-6.8844 0.0000 9.7236
Cu H C N Cl
4 32 8 4 12
Direct
0.0856 0.8426 0.5805
0.1574 0.9144 0.9195
0.8426 0.0856 0.0805
0.9144 0.1574 0.4195
0.1113 0.5038 0.7918
0.1124 0.3253 0.6307
0.1252 0.5527 0.2373
0.1361 0.4093 0.0649
0.2282 0.5658 0.1574
0.2653 0.4640 0.6584
0.2682 0.2705 0.7892
0.2705 0.2682 0.2892
0.3253 0.1124 0.1307
0.3904 0.4539 0.8168
0.4093 0.1361 0.5649
0.4342 0.7718 0.3426
0.4473 0.8748 0.2627
0.4539 0.3904 0.3168
0.4640 0.2653 0.1584
0.4962 0.8887 0.7082
0.5038 0.1113 0.2918
0.5360 0.7347 0.8416
0.5461 0.6096 0.6832
0.5527 0.1252 0.7373
0.5658 0.2282 0.6574
0.5907 0.8639 0.4351
0.6096 0.5461 0.1832
0.6747 0.8876 0.8693
0.7295 0.7318 0.7108
0.7318 0.7295 0.2108
0.7347 0.5360 0.3416
0.7718 0.4342 0.8426
0.8639 0.5907 0.9351
0.8748 0.4473 0.7627
0.8876 0.6747 0.3693
0.8887 0.4962 0.2082
0.1957 0.3693 0.7341
0.2049 0.4752 0.1662
0.3693 0.1957 0.2341
0.4752 0.2049 0.6662
0.5248 0.7951 0.3338
0.6307 0.8043 0.7659
0.7951 0.5248 0.8338
0.8043 0.6307 0.2659
0.3309 0.3831 0.7214
0.3831 0.3309 0.2214
0.6169 0.6691 0.7786
0.6691 0.6169 0.2786
0.0427 0.2082 0.3408
0.0923 0.8156 0.0202
0.1844 0.9077 0.4798
0.2082 0.0427 0.8408
0.3111 0.5521 0.5409
0.4479 0.6889 0.9591
0.5521 0.3111 0.0409
0.6889 0.4479 0.4591
0.7918 0.9573 0.1592
0.8156 0.0923 0.5202
0.9077 0.1844 0.9798
0.9573 0.7918 0.6592

CuH2CN2Cl PBE-GGA relaxed; V = 432 Å³/cell; symmetry = Pnma (62)
1.0
9.1117 0.0000 0.0000
0.0000 3.8600 0.0000
0.0000 0.0000 12.2689
Cu H C N Cl
4 8 4 8 4
Direct
0.0344 0.2500 0.0571
0.4656 0.7500 0.5571
0.5344 0.2500 0.4429
0.9656 0.7500 0.9429
0.1930 0.2500 0.6951
0.2116 0.2500 0.5497
0.2884 0.7500 0.0497
0.3070 0.7500 0.1951
0.6931 0.2500 0.8049
0.7116 0.2500 0.9503
0.7884 0.7500 0.4503
0.8069 0.7500 0.3049
0.1219 0.7500 0.4046
0.3781 0.2500 0.9046
0.6219 0.7500 0.0954
0.8781 0.2500 0.5954
0.0070 0.2500 0.6068
0.1499 0.2500 0.6187
0.3501 0.7500 0.1187
0.4930 0.7500 0.1068
0.5070 0.2500 0.8932
0.6499 0.2500 0.8813
0.8501 0.7500 0.3813
0.9930 0.7500 0.3932
0.0050 0.7500 0.1425
0.4950 0.2500 0.6425
0.5050 0.7500 0.3575
0.9950 0.2500 0.8575

CuH16C11N4Cl2 PBE-GGA relaxed; V = 667 Å³/cell; symmetry = P-1 (2)
1.0
7.6800 0.0000 0.0000
-0.6167 8.9227 0.0000
-2.6116 -4.1526 9.7306
Cu H C N Cl
2 32 22 8 4
Direct
0.0666 0.4799 0.1625
0.9334 0.5201 0.8375
0.0129 0.4348 0.3880
0.0402 0.2630 0.4342
0.0415 0.0470 0.6710
0.1616 0.8462 0.1647
0.2261 0.9527 0.6274
0.2645 0.1458 0.7680
0.2955 0.2361 0.5656
0.2991 0.0526 0.4300
0.3137 0.4927 0.7512
0.3433 0.7511 0.1206
0.3443 0.6996 0.6127
0.3533 0.1115 0.0166
0.3756 0.9685 0.1985
0.4739 0.6151 0.9093
0.4839 0.5772 0.1883
0.4923 0.8200 0.4552
0.5077 0.1800 0.5448
0.5161 0.4228 0.8117
0.5261 0.3849 0.0907
0.6244 0.0315 0.8015
0.6467 0.8885 0.9834
0.6557 0.3004 0.3873
0.6567 0.2489 0.8794
0.6863 0.5073 0.2488
0.7009 0.9474 0.5700
0.7045 0.7639 0.4344
0.7355 0.8542 0.2320
0.7739 0.0473 0.3726
0.8384 0.1538 0.8353
0.9585 0.9530 0.3290
0.9598 0.7370 0.5658
0.9871 0.5652 0.6120
0.0443 0.3106 0.3553
0.1778 0.0257 0.7141
0.1785 0.9454 0.8116
0.2210 0.8660 0.9882
0.2663 0.9956 0.9506
0.2789 0.8583 0.1258
0.3680 0.1800 0.4896
0.3742 0.2697 0.3992
0.4451 0.3964 0.2690
0.4598 0.5294 0.8041
0.4839 0.6827 0.6443
0.5161 0.3173 0.3557
0.5402 0.4706 0.1959
0.5549 0.6036 0.7310
0.6258 0.7303 0.6008
0.6320 0.8200 0.5104
0.7211 0.1417 0.8742
0.7337 0.0044 0.0494
0.7790 0.1340 0.0118
0.8215 0.0546 0.1884
0.8222 0.9743 0.2859
0.9557 0.6894 0.6447
0.0879 0.7913 0.7721
0.1121 0.7411 0.8781
0.2261 0.3204 0.3393
0.2674 0.3972 0.2597
0.7326 0.6028 0.7403
0.7739 0.6796 0.6607
0.8879 0.2589 0.1219
0.9121 0.2087 0.2279
0.0969 0.7034 0.3655
0.1516 0.4125 0.9537
0.8484 0.5875 0.0463
0.9031 0.2966 0.6345

CuPH20C26NCl PBE-GGA relaxed; V = 1052 Å³/cell; symmetry = P-1 (2)
1.0
9.1176 0.0000 0.0000
-3.3754 9.8423 0.0000
-2.0722 -2.1217 11.7203
Cu P H C N Cl
2 2 40 52 2 2
Direct
0.0276 0.1122 0.0980
0.9724 0.8878 0.9020
0.0014 0.7819 0.7482
0.9986 0.2181 0.2518
0.0175 0.8243 0.2511
0.0506 0.5163 0.6593
0.0521 0.0234 0.3854
0.0825 0.2894 0.6634
0.1163 0.6711 0.5514
0.1233 0.8061 0.3822
0.1851 0.7600 0.1368
0.2242 0.2307 0.9294
0.2384 0.0365 0.5647
0.2528 0.4654 0.4140
0.2979 0.9966 0.8462
0.3366 0.7951 0.0269
0.3782 0.7477 0.4988
0.3786 0.3750 0.8131
0.4008 0.0484 0.3832
0.4367 0.2631 0.6676
0.4397 0.4783 0.5922
0.4410 0.9224 0.2105
0.4857 0.3907 0.2301
0.4971 0.8161 0.8814
0.5029 0.1839 0.1186
0.5143 0.6093 0.7699
0.5590 0.0776 0.7895
0.5603 0.5217 0.4078
0.5633 0.7369 0.3324
0.5992 0.9516 0.6168
0.6214 0.6250 0.1869
0.6218 0.2523 0.5012
0.6634 0.2049 0.9731
0.7021 0.0034 0.1538
0.7472 0.5346 0.5860
0.7616 0.9635 0.4353
0.7758 0.7693 0.0706
0.8149 0.2400 0.8632
0.8767 0.1939 0.6178
0.8837 0.3289 0.4486
0.9175 0.7106 0.3366
0.9479 0.9766 0.6146
0.9494 0.4837 0.3407
0.9825 0.1757 0.7489
0.0164 0.5013 0.2738
0.0281 0.7495 0.3067
0.0470 0.3927 0.2167
0.0655 0.6344 0.2455
0.1265 0.4159 0.1250
0.1365 0.1235 0.4313
0.1386 0.2435 0.3873
0.1504 0.6576 0.1601
0.1837 0.5510 0.0989
0.1909 0.8273 0.7039
0.2141 0.7583 0.6056
0.2160 0.3230 0.9771
0.2418 0.1306 0.5318
0.2491 0.3709 0.4465
0.2715 0.5721 0.0093
0.2860 0.4542 0.9473
0.3160 0.9431 0.7695
0.3468 0.7024 0.9822
0.3525 0.2581 0.5898
0.3551 0.3779 0.5473
0.3608 0.8025 0.5750
0.3708 0.4678 0.8595
0.4342 0.7144 0.8984
0.4449 0.5968 0.8356
0.4620 0.9882 0.7377
0.4849 0.9175 0.6410
0.5151 0.0825 0.3590
0.5380 0.0118 0.2623
0.5551 0.4032 0.1644
0.5658 0.2856 0.1016
0.6292 0.5322 0.1405
0.6392 0.1975 0.4250
0.6449 0.6221 0.4527
0.6475 0.7419 0.4102
0.6532 0.2976 0.0178
0.6840 0.0569 0.2305
0.7140 0.5458 0.0527
0.7285 0.4279 0.9907
0.7509 0.6291 0.5535
0.7582 0.8694 0.4682
0.7840 0.6770 0.0229
0.7859 0.2417 0.3944
0.8091 0.1727 0.2961
0.8163 0.4490 0.9011
0.8496 0.3424 0.8399
0.8614 0.7565 0.6127
0.8635 0.8765 0.5687
0.8735 0.5841 0.8750
0.9345 0.3656 0.7545
0.9530 0.6073 0.7833
0.9719 0.2505 0.6933
0.9836 0.4987 0.7262
0.1424 0.3040 0.0614
0.8576 0.6960 0.9386
0.1901 0.9900 0.0599
0.8099 0.0100 0.9401

Values of calculated total energy, in order: -6.482, -4.570, -4.569, -5.174, -5.875, -6.556, all in eV/atom.